1.
VASP calculation (GGA-PBE) on a relaxed structure of TlZn2CrAu.

ΔE_f   787.2 meV/atom
Magnetization   4.1 μB/f.u.
E above lowest polymorph   8.54 kcal/mol of atoms
Crystal system   tetragonal

a b c (Å): 4.723 5.070 4.723
angles (deg): 90.00 90.00 90.00
Element x y z (fractional)
Tl1 0.000 0.500 0.000
Cr1 0.000 0.000 0.000
Au1 0.500 0.500 0.500
Zn1 0.500 0.000 0.000
Zn2 0.000 0.000 0.500

2.
VASP calculation (GGA-PBE) on a relaxed structure of ErMgCu2Si2.

Magnetization   0.0 μB/f.u.
Crystal system   trigonal
ΔE_f (raw)   -43.3 kJ/mol of atoms

a b c (Å): 4.117 4.117 6.723
angles (deg): 90.00 90.00 120.00
Element x y z (fractional)
Cu1 0.667 0.333 0.204
Mg1 0.000 0.000 0.000
Si1 0.333 0.667 0.239
Si2 0.667 0.333 0.761
Cu2 0.333 0.667 0.796
Er1 0.000 0.000 0.500

3.
VASP calculation (GGA-PBE) on a relaxed structure of Cr2TeW.

Magnetization   1.1 μB/f.u.
Crystal system   monoclinic
ΔE_f (raw)   53.3 kJ/mol of atoms

a b c (Å): 4.841 4.841 4.474
angles (deg): 78.38 78.38 37.54
Element x y z (fractional)
Cr1 0.002 0.002 0.996
W1 0.256 0.256 0.210
Te1 0.497 0.497 0.513
Cr2 0.744 0.744 0.781

4.
VASP calculation (GGA-PBE) on a relaxed structure of MgTa2Mn.

ΔE_f   194.9 meV/atom
Magnetization   0.6 μB/f.u.
Crystal system   tetragonal

a b c (Å): 3.097 3.097 7.112
angles (deg): 90.00 90.00 90.00
Element x y z (fractional)
Ta1 0.000 0.000 0.958
Mg1 0.000 0.000 0.534
Ta2 0.500 0.500 0.231
Mn1 0.500 0.500 0.778

5.
VASP calculation (GGA-PBE) on a relaxed structure of TaCu2Mo.

ΔE_f   164.5 meV/atom
Magnetization   0.0 μB/f.u.
E above lowest polymorph   1.31 kcal/mol of atoms
Crystal system   tetragonal

a b c (Å): 3.261 3.261 5.597
angles (deg): 90.00 90.00 90.00
Element x y z (fractional)
Cu1 0.500 0.500 0.233
Cu2 0.000 0.000 0.021
Mo1 0.000 0.000 0.499
Ta1 0.500 0.500 0.748

6.
VASP calculation (GGA-PBE) on a relaxed structure of SmAg2Pd8.

ΔE_f   -202.1 meV/atom
Magnetization   0.0 μB/f.u.
Crystal system   monoclinic

a b c (Å): 4.924 7.447 8.001
angles (deg): 62.27 72.04 48.50
Element x y z (fractional)
Pd1 0.761 0.103 0.274
Pd2 0.749 0.502 0.000
Pd3 0.761 0.377 0.726
Pd4 0.251 0.498 0.000
Ag1 0.000 0.317 0.366
Pd5 0.239 0.897 0.726
Ag2 0.000 0.683 0.634
Pd6 0.239 0.623 0.274
Pd7 0.500 0.196 0.608
Pd8 0.500 0.804 0.392
Sm1 0.500 0.000 0.000

7.
VASP calculation (GGA-PBE) on a relaxed structure of LiReAu2.

ΔE_f   448.2 meV/atom
Magnetization   0.8 μB/f.u.
E above lowest polymorph   9.12 kcal/mol of atoms
Crystal system   orthorhombic

a b c (Å): 2.722 5.012 4.843
angles (deg): 90.00 90.00 90.00
Element x y z (fractional)
Au1 0.000 0.000 0.000
Re1 0.000 0.500 0.500
Au2 0.500 0.500 0.000
Li1 0.500 0.000 0.500

8.
VASP calculation (GGA-PBE) on a relaxed structure of ZrSnS2Cl.

Magnetization   1.8 μB/f.u.
E above lowest polymorph   21.69 kcal/mol of atoms
Crystal system   tetragonal
ΔE_f (raw)   14.0 kJ/mol of atoms

a b c (Å): 5.090 5.090 4.966
angles (deg): 90.00 90.00 90.00
Element x y z (fractional)
S1 0.500 0.000 0.000
Cl1 0.000 0.000 0.500
Sn1 0.000 0.000 0.000
S2 0.000 0.500 0.000
Zr1 0.500 0.500 0.500

Which value of magnetization does entry 3 give? 1.1 μB/f.u.

Which value of magnetization does entry 5 give? 0.0 μB/f.u.

Which of these has the highest magnetization? TlZn2CrAu